Entry 1:
! Mg2Cd (PBE, relaxed); values from VASP
&SYSTEM
  ibrav = 0, nat = 6, ntyp = 2
/
ATOMIC_SPECIES
Mg 24.30 Mg.upf
Cd 112.41 Cd.upf
CELL_PARAMETERS angstrom
4.9923 0.0000 0.0000
-2.4962 4.3235 0.0000
0.0000 0.0000 6.1308
ATOMIC_POSITIONS angstrom
Mg 0.0000 0.0000 0.0000
Mg 0.0000 0.0000 3.0654
Mg 0.0000 2.8823 1.5327
Mg 2.4962 1.4412 4.5981
Cd 0.0000 2.8823 4.5981
Cd 2.4962 1.4412 1.5327
! Total moment   0.000 μB/atom
! Formation energy   -0.071 eV/atom
! Final energy   -8.63 eV for the cell shown
! Space-group type   No. 194

---

Entry 2:
! MgCd (PBE, relaxed); values from VASP
&SYSTEM
  ibrav = 0, nat = 4, ntyp = 2
/
ATOMIC_SPECIES
Mg 24.30 Mg.upf
Cd 112.41 Cd.upf
CELL_PARAMETERS angstrom
3.2976 0.0000 0.0000
-1.6488 2.8558 0.0000
0.0000 0.0000 9.4616
ATOMIC_POSITIONS angstrom
Mg 0.0000 0.0000 0.0000
Mg 0.0000 0.0000 4.7308
Cd 0.0000 1.9039 2.3654
Cd 1.6488 0.9519 7.0962
! Total moment   0.000 μB/atom
! Formation energy   -0.055 eV/atom
! Final energy   -5.24 eV for the cell shown
! Space-group type   No. 194